The following is a DFT calculation (GGA-PBE) of a relaxed structure of NbV3Pt.

a b c (Å): 4.535 4.535 4.535
angles (deg): 90.00 90.00 90.00
Site moments in Bohr magnetons follow the coordinates.
Fractional coordinates of all 5 atoms:
Nb: 0.000 0.000 0.000  -0.19
Pt: 0.500 0.500 0.500  0.10
V: 0.000 0.500 0.000  0.98
V: 0.000 0.000 0.500  0.98
V: 0.500 0.000 0.000  0.98

Output
ρ   7.8 g/cm³
Density of states at the Fermi level   1.409 states/eV/atom
Energy of formation   1.365 eV/atom
Distance to the lowest polymorph of the same formula   222 meV/atom

=====

The following is a DFT calculation (GGA-PBE) of a relaxed structure of SmSc2Se4.

a b c (Å): 3.907 6.691 13.379
angles (deg): 90.00 90.00 106.98
Fractional coordinates of all 14 atoms:
Sm: 0.623 0.245 0.750
Sm: 0.377 0.755 0.250
Sc: 0.128 0.257 0.435
Sc: 0.872 0.743 0.935
Sc: 0.128 0.257 0.065
Sc: 0.872 0.743 0.565
Se: 0.772 0.544 0.117
Se: 0.772 0.544 0.383
Se: 0.228 0.456 0.883
Se: 0.228 0.456 0.617
Se: 0.953 0.906 0.750
Se: 0.047 0.094 0.250
Se: 0.500 0.000 0.000
Se: 0.500 0.000 0.500

Output
ρ   5.5 g/cm³
Density of states at the Fermi level   0.364 states/eV/atom
Formation energy from raw total energies   -1.758 eV/atom

=====

The following is a DFT calculation (GGA-PBE) of a relaxed structure of ZnSi2Rh2.

a b c (Å): 3.483 3.483 6.106
angles (deg): 90.00 90.00 90.00
Fractional coordinates of all 5 atoms:
Zn: 0.000 0.000 0.000
Si: 0.500 0.000 0.500
Si: 0.000 0.500 0.500
Rh: 0.500 0.500 0.779
Rh: 0.500 0.500 0.221

Output
ρ   7.3 g/cm³
Density of states at the Fermi level   0.319 states/eV/atom
Formation energy from raw total energies   -0.278 eV/atom

=====

The following is a DFT calculation (GGA-PBE) of a relaxed structure of CdTe2AuI.

a b c (Å): 5.538 5.538 5.565
angles (deg): 90.00 90.00 90.00
Fractional coordinates of all 5 atoms:
I: 0.000 0.000 0.500
Te: 0.000 0.500 0.000
Te: 0.500 0.000 0.000
Au: 0.000 0.000 0.000
Cd: 0.500 0.500 0.500

Output
ρ   6.7 g/cm³
Density of states at the Fermi level   0.949 states/eV/atom
Distance to the lowest polymorph of the same formula   0 meV/atom
Formation energy from raw total energies   0.364 eV/atom

=====

The following is a DFT calculation (GGA-PBE) of a relaxed structure of CsPdBr3.

a b c (Å): 4.785 4.785 18.591
angles (deg): 90.00 90.00 120.00
Fractional coordinates of all 10 atoms:
Cs: 0.000 0.000 0.000
Cs: 0.000 0.000 0.500
Br: 0.000 0.000 0.250
Br: 0.000 0.000 0.750
Br: 0.333 0.667 0.882
Br: 0.333 0.667 0.618
Br: 0.667 0.333 0.382
Br: 0.667 0.333 0.118
Pd: 0.333 0.667 0.750
Pd: 0.667 0.333 0.250

Output
ρ   4.3 g/cm³
Density of states at the Fermi level   0.379 states/eV/atom
Formation energy from raw total energies   -0.771 eV/atom

=====

The following is a DFT calculation (GGA-PBE) of a relaxed structure of Pm3Dy12Tm.

a b c (Å): 5.032 5.032 20.130
angles (deg): 90.00 90.00 90.00
Fractional coordinates of all 16 atoms:
Pm: 0.000 0.000 0.249
Pm: 0.000 0.000 0.500
Pm: 0.000 0.000 0.751
Dy: 0.500 0.500 0.000
Dy: 0.500 0.500 0.248
Dy: 0.500 0.500 0.500
Dy: 0.500 0.500 0.752
Dy: 0.500 0.000 0.123
Dy: 0.500 0.000 0.374
Dy: 0.500 0.000 0.626
Dy: 0.500 0.000 0.877
Dy: 0.000 0.500 0.123
Dy: 0.000 0.500 0.374
Dy: 0.000 0.500 0.626
Dy: 0.000 0.500 0.877
Tm: 0.000 0.000 0.000

Output
ρ   8.3 g/cm³
Density of states at the Fermi level   1.348 states/eV/atom
Energy of formation   0.019 eV/atom

=====

Question: Among the records above, which one has the lowest density of states at the Fermi level?
Answer: ZnSi2Rh2